LiScCuSe3 after structural relaxation, computed with PBE.

Computed properties:
Offset from the most stable computed form: 15.6 meV/atom
Size of the total moment: 0.003 μB per atom
SG: Cmcm, No. 63

Cell lengths 6.827, 6.827, 10.106 Å; angles 90.00, 90.00, 148.52 degrees
Fractional coordinates of all 12 atoms:
Cu: 0.522 0.478 0.250
Cu: 0.478 0.522 0.750
Li: 0.222 0.778 0.250
Li: 0.778 0.222 0.750
Sc: 0.000 0.000 0.000
Sc: 0.000 0.000 0.500
Se: 0.639 0.361 0.068
Se: 0.904 0.096 0.250
Se: 0.639 0.361 0.432
Se: 0.361 0.639 0.568
Se: 0.096 0.904 0.750
Se: 0.361 0.639 0.932